Ba2HgRu after structural relaxation, computed with PBE.

POSCAR file:
```
Ba2HgRu
1.0
3.864 0.000 0.000
0.000 3.864 0.000
0.000 0.000 9.267
Ba Hg Ru
2 1 1
Direct
0.000 0.000 0.913
0.500 0.500 0.345
0.000 0.000 0.573
0.500 0.500 0.668
```

## Properties
The density of states at the Fermi level comes out at 3.2 states/eV/cell. As for the final energy: -3.102 eV/atom. The formation energy comes out at 0.254 eV/atom. As for the space group: P4mm, No. 99.